A | VASP calculation (PBE) on crystalline HoTh4 at its relaxed geometry.

DOS(E_F) = 1.5065 states/eV per atom
crystal system = orthorhombic

Cell and atoms, written as POSCAR:
```
HoTh4
1.0
3.5939 0.0000 0.0000
0.0000 4.9968 0.0000
-1.7969 -2.4984 8.9011
Ho Th
1 4
Cartesian
0.0000 0.0000 0.0000 Ho
1.7969 2.4984 1.8005 Th
0.0000 0.0000 3.5502 Th
1.7970 2.4984 5.3509 Th
0.0000 0.0000 7.1006 Th
```

---

B | VASP calculation (PBE) on crystalline HoTh4 at its relaxed geometry.

DOS(E_F) = 1.6241 states/eV per atom
crystal system = monoclinic

Cell and atoms, written as POSCAR:
```
HoTh4
1.0
-0.2838 2.5443 2.4812
-0.2791 -0.8966 3.4393
14.2592 0.9150 3.2169
Ho Th
1 4
Cartesian
0.0000 0.0000 0.0000 Ho
5.5841 0.6945 2.4671 Th
8.1121 1.8683 6.6703 Th
2.5321 1.1736 4.2027 Th
11.1642 1.3891 4.9347 Th
```

---

C | VASP calculation (PBE) on crystalline HoTh4 at its relaxed geometry.

DOS(E_F) = 1.5723 states/eV per atom
crystal system = cubic

Cell and atoms, written as POSCAR:
```
HoTh4
1.0
5.6911 0.0000 0.0000
0.0000 5.6911 0.0000
0.0000 0.0000 5.6911
Ho Th
1 4
Cartesian
2.8455 2.8455 2.8455 Ho
0.0000 0.0000 0.0000 Th
2.8455 0.0000 2.8455 Th
0.0000 2.8455 2.8455 Th
2.8455 2.8455 0.0000 Th
```

---

Which of them is the least stable? Correct choice: C.

---

A | VASP calculation (PBE) on crystalline Ho5Th2 at its relaxed geometry.

DOS(E_F) = 2.4348 states/eV per atom
crystal system = trigonal

Cell and atoms, written as POSCAR:
```
Ho5Th2
1.0
5.6174 0.0000 0.0000
2.8087 4.8648 0.0000
2.8087 1.6216 8.1436
Ho Th
5 2
Cartesian
2.8087 1.6216 6.2507 Ho
8.4261 4.8648 5.4204 Ho
5.6174 3.2432 4.0718 Ho
2.8087 1.6216 2.7231 Ho
8.4261 4.8648 1.8928 Ho
5.6174 3.2432 0.7163 Th
5.6174 3.2432 7.4273 Th
```

---

B | VASP calculation (PBE) on crystalline Ho5Th2 at its relaxed geometry.

DOS(E_F) = 1.9807 states/eV per atom
crystal system = monoclinic

Cell and atoms, written as POSCAR:
```
Ho5Th2
1.0
5.2994 0.2345 -1.5349
-2.8273 4.7336 -0.3070
0.2657 -0.3887 8.5883
Ho Th
5 2
Cartesian
0.7471 0.0881 5.8805 Ho
1.9907 4.4913 0.8659 Ho
-0.1729 2.9249 3.0171 Ho
2.9107 1.6545 3.7293 Ho
-1.4136 2.3668 -0.1535 Ho
1.7157 1.0449 0.4811 Th
1.0221 3.5345 6.2653 Th
```

---

Which of them is the least stable? Correct choice: A.

---

A | VASP calculation (PBE) on crystalline HoTh2 at its relaxed geometry.

DOS(E_F) = 1.2769 states/eV per atom
crystal system = tetragonal

Cell and atoms, written as POSCAR:
```
HoTh2
1.0
3.5663 0.0000 0.0000
0.0000 3.5663 0.0000
-1.7832 -1.7832 7.5390
Ho Th
1 2
Cartesian
0.0000 0.0000 0.0000 Ho
1.7832 1.7832 2.5352 Th
0.0000 0.0000 5.0039 Th
```

---

B | VASP calculation (PBE) on crystalline HoTh2 at its relaxed geometry.

DOS(E_F) = 1.5599 states/eV per atom
crystal system = orthorhombic

Cell and atoms, written as POSCAR:
```
HoTh2
1.0
-4.0428 0.0270 -2.9542
2.6676 -5.4694 -3.7006
-4.8965 -6.8793 6.6379
Ho Th
4 8
Cartesian
-1.1041 -5.3576 -4.9032 Ho
-2.2103 -7.4180 0.8352 Ho
-4.0613 -4.9037 -0.8521 Ho
-5.1675 -6.9641 4.8862 Ho
-5.7166 -7.2011 1.3921 Th
-1.9099 -2.4157 0.4699 Th
-4.3617 -9.9061 -0.4868 Th
-0.5550 -5.1207 -1.4090 Th
-2.4365 -2.6119 -3.0547 Th
-3.5375 -4.6830 2.6764 Th
-2.7341 -7.6388 -2.6934 Th
-3.8351 -9.7098 3.0378 Th
```

---

Which of them is the least stable? Correct choice: B.

---

A | VASP calculation (PBE) on crystalline HoTh2 at its relaxed geometry.

DOS(E_F) = 1.7505 states/eV per atom
crystal system = orthorhombic

Cell and atoms, written as POSCAR:
```
HoTh2
1.0
4.7244 0.0000 -1.5778
-0.3124 3.4582 -0.9355
-0.5774 -0.2663 6.1330
Ho Th
1 2
Cartesian
-0.1562 1.7291 -0.4678 Ho
0.9230 2.7014 2.7636 Th
2.9115 0.4905 0.8560 Th
```

---

B | VASP calculation (PBE) on crystalline HoTh2 at its relaxed geometry.

DOS(E_F) = 1.6355 states/eV per atom
crystal system = cubic

Cell and atoms, written as POSCAR:
```
HoTh2
1.0
-4.2909 -4.2807 -2.6296
1.8244 -3.8039 -5.0846
0.8564 -6.4928 0.8722
Ho Th
2 4
Cartesian
0.0000 0.0000 0.0000 Ho
-0.4025 -3.6443 -1.7105 Ho
1.1391 -6.9705 -2.9614 Th
-1.9185 -7.2089 -1.7340 Th
-1.0064 -9.1108 -4.2762 Th
-1.4345 -5.8644 -4.7123 Th
```

---

Which of them is the least stable? Correct choice: B.

---

A | VASP calculation (PBE) on crystalline Ho2Th3 at its relaxed geometry.

DOS(E_F) = 1.7365 states/eV per atom
crystal system = orthorhombic

Cell and atoms, written as POSCAR:
```
Ho2Th3
1.0
3.4631 0.0000 0.5976
1.7316 5.8538 0.2988
-0.9125 0.0000 15.6215
Ho Th
4 6
Cartesian
1.3023 2.6712 14.4704 Ho
3.4325 3.1826 2.1256 Ho
1.2447 5.5981 9.6375 Ho
1.7585 0.2557 6.6596 Ho
2.8728 5.4399 13.1673 Th
1.0123 0.4138 3.2821 Th
0.5561 2.5130 11.0928 Th
1.5975 3.3407 5.0577 Th
3.4075 0.0000 0.5880 Th
2.9513 2.9269 8.3987 Th
```

---

B | VASP calculation (PBE) on crystalline Ho2Th3 at its relaxed geometry.

DOS(E_F) = 1.7966 states/eV per atom
crystal system = monoclinic

Cell and atoms, written as POSCAR:
```
Ho2Th3
1.0
8.7996 1.3058 0.0000
6.4946 6.4840 0.0000
3.2473 3.2420 6.8592
Ho Th
4 6
Cartesian
6.4946 6.4840 1.6873 Ho
3.2473 3.2420 5.1718 Ho
9.2708 5.5159 3.4296 Ho
6.0234 2.2739 3.4296 Ho
9.2107 4.7713 0.0000 Th
6.0835 3.0184 0.0000 Th
6.1562 4.9687 5.1910 Th
15.6326 9.3050 5.1910 Th
2.9089 1.7267 1.6681 Th
12.3853 6.0630 1.6681 Th
```

---

Which of them is the least stable? Correct choice: B.

---

A | VASP calculation (PBE) on crystalline Ho2Th5 at its relaxed geometry.

DOS(E_F) = 1.6200 states/eV per atom
crystal system = monoclinic

Cell and atoms, written as POSCAR:
```
Ho2Th5
1.0
5.0054 0.0000 0.0000
-2.5027 5.5898 -0.7409
0.0000 -0.0296 7.9836
Ho Th
2 5
Cartesian
0.0000 0.7805 1.6173 Ho
2.5027 4.7797 5.6254 Ho
0.0000 3.9794 0.0273 Th
2.5027 1.5808 7.2154 Th
0.0000 2.3751 4.8135 Th
2.5027 -0.0148 3.9918 Th
2.5027 3.1851 2.4292 Th
```

---

B | VASP calculation (PBE) on crystalline Ho2Th5 at its relaxed geometry.

DOS(E_F) = 1.6167 states/eV per atom
crystal system = trigonal

Cell and atoms, written as POSCAR:
```
Ho2Th5
1.0
5.6623 0.0000 0.0000
2.8311 4.9037 0.0000
2.8311 1.6346 8.1429
Ho Th
2 5
Cartesian
5.6623 3.2691 0.6441 Ho
5.6623 3.2691 7.4988 Ho
2.8311 1.6346 6.2797 Th
8.4934 4.9037 5.2667 Th
5.6623 3.2691 4.0715 Th
2.8311 1.6346 2.8762 Th
8.4934 4.9037 1.8632 Th
```

---

Which of them is the least stable? Correct choice: B.

---

A | VASP calculation (PBE) on crystalline HoTh5 at its relaxed geometry.

DOS(E_F) = 1.5178 states/eV per atom
crystal system = orthorhombic

Cell and atoms, written as POSCAR:
```
HoTh5
1.0
5.0040 0.0000 0.0000
0.0000 5.0224 0.0000
0.0000 -2.5112 7.6291
Ho Th
1 5
Cartesian
0.0000 0.0000 0.0000 Ho
0.0000 2.5112 2.5618 Th
0.0000 0.0000 5.0673 Th
2.5020 2.5112 0.0000 Th
2.5020 0.0000 2.5242 Th
2.5020 2.5112 5.1048 Th
```

---

B | VASP calculation (PBE) on crystalline HoTh5 at its relaxed geometry.

DOS(E_F) = 1.5372 states/eV per atom
crystal system = orthorhombic

Cell and atoms, written as POSCAR:
```
HoTh5
1.0
-0.3816 -0.9112 5.9293
-2.0348 -5.5632 -0.9859
6.0279 0.9419 0.5327
Ho Th
1 5
Cartesian
0.0000 0.0000 0.0000 Ho
0.6208 -3.3831 -0.4800 Th
3.3723 -1.2382 0.0267 Th
-1.2082 -3.2372 2.4717 Th
1.5287 -1.0869 2.9783 Th
2.0829 -4.4456 2.4978 Th
```

---

Which of them is the least stable? Correct choice: B.

---

A | VASP calculation (PBE) on crystalline HoTh2Ti at its relaxed geometry.

DOS(E_F) = 1.6357 states/eV per atom
crystal system = tetragonal

Cell and atoms, written as POSCAR:
```
HoTh2Ti
1.0
-2.8361 -2.1455 0.5023
-0.2704 -0.4737 -3.5499
5.3011 -6.8867 0.5152
Ho Th Ti
1 2 1
Cartesian
1.0973 -4.7530 -1.2662 Ho
4.1329 -5.3691 0.4016 Th
1.1682 -1.5177 0.1135 Th
-1.5533 -1.3096 -1.5238 Ti
```

---

B | VASP calculation (PBE) on crystalline HoTh2Ti at its relaxed geometry.

DOS(E_F) = 1.5856 states/eV per atom
crystal system = tetragonal

Cell and atoms, written as POSCAR:
```
HoTh2Ti
1.0
4.6970 0.0000 0.0000
0.0000 4.8937 0.0000
0.0000 0.0000 4.8937
Ho Th Ti
1 2 1
Cartesian
2.3485 2.4469 2.4469 Ho
0.0000 0.0000 2.4469 Th
0.0000 2.4469 0.0000 Th
2.3485 0.0000 0.0000 Ti
```

---

Which of them is the least stable? Correct choice: B.

---

A | VASP calculation (PBE) on crystalline HoTh2Ti at its relaxed geometry.

DOS(E_F) = 1.5660 states/eV per atom
crystal system = trigonal

Cell and atoms, written as POSCAR:
```
HoTh2Ti
1.0
3.3556 0.0000 0.0000
1.6778 2.9061 0.0000
1.6778 0.9687 11.7777
Ho Th Ti
1 2 1
Cartesian
3.3556 1.9374 5.8888 Ho
1.6778 0.9687 8.9194 Th
5.0335 2.9061 2.8583 Th
0.0000 0.0000 0.0000 Ti
```

---

B | VASP calculation (PBE) on crystalline HoTh2Ti at its relaxed geometry.

DOS(E_F) = 1.7619 states/eV per atom
crystal system = trigonal

Cell and atoms, written as POSCAR:
```
HoTh2Ti
1.0
3.4568 0.0000 0.0000
1.7284 2.9937 0.0000
1.7284 0.9979 10.8473
Ho Th Ti
1 2 1
Cartesian
3.4568 1.9958 5.4944 Ho
1.7284 0.9979 8.3374 Th
1.7284 0.9979 2.5016 Th
5.1853 2.9937 10.7848 Ti
```

---

Which of them is the least stable? Correct choice: A.

---

A | VASP calculation (PBE) on crystalline Ho2ThTl4 at its relaxed geometry.

DOS(E_F) = 0.6605 states/eV per atom
crystal system = trigonal

Cell and atoms, written as POSCAR:
```
Ho2ThTl4
1.0
-0.8496 -3.7448 -3.1417
3.2094 -0.9401 -3.6649
5.7678 -7.6647 3.6587
Ho Th Tl
2 1 4
Cartesian
3.8496 -5.3144 1.3760 Ho
4.2781 -7.0351 -4.5240 Ho
0.0000 0.0000 0.0000 Th
5.7895 -8.2891 0.4796 Tl
2.1374 -3.2166 -0.6615 Tl
5.9903 -9.1329 -2.4865 Tl
2.3382 -4.0604 -3.6275 Tl
```

---

B | VASP calculation (PBE) on crystalline Ho2ThTl4 at its relaxed geometry.

DOS(E_F) = 1.0807 states/eV per atom
crystal system = tetragonal

Cell and atoms, written as POSCAR:
```
Ho2ThTl4
1.0
-3.6432 -0.2317 3.7119
3.6021 -1.5133 3.4410
1.3870 7.4546 1.8266
Tl Ho Th
4 2 1
Cartesian
-1.4414 1.9275 2.3567 Tl
2.8078 4.6546 3.0464 Tl
-0.8148 5.2954 3.1819 Tl
2.1812 1.2867 2.2212 Tl
0.0000 0.0000 0.0000 Ho
0.6729 2.8548 4.4897 Ho
-0.0206 -0.8725 3.5764 Th
```

---

Which of them is the least stable? Correct choice: A.

---

A | VASP calculation (PBE) on crystalline Ho6TmTh2 at its relaxed geometry.

DOS(E_F) = 1.5332 states/eV per atom
crystal system = orthorhombic

Cell and atoms, written as POSCAR:
```
Ho6TmTh2
1.0
4.7857 0.0000 1.5349
2.2038 7.4573 1.3568
0.1121 -0.6190 7.8789
Ho Tm Th
6 1 2
Cartesian
5.1215 5.6515 8.7165 Ho
1.9802 1.1869 2.0541 Ho
1.8564 6.0643 2.4401 Ho
3.4883 5.8912 5.5804 Ho
5.2452 0.7740 8.3305 Ho
3.6134 0.9471 5.1902 Ho
1.1580 3.4192 4.6179 Tm
2.7849 3.2109 7.7736 Th
4.3168 3.6274 2.9970 Th
```

---

B | VASP calculation (PBE) on crystalline Ho6TmTh2 at its relaxed geometry.

DOS(E_F) = 2.0449 states/eV per atom
crystal system = hexagonal

Cell and atoms, written as POSCAR:
```
Ho6TmTh2
1.0
-2.2100 -2.4408 1.3210
3.1388 -0.9832 -1.3296
10.8852 2.8931 23.5565
Ho Tm Th
6 1 2
Cartesian
9.2911 0.6280 21.4684 Ho
6.1055 -0.2067 9.8327 Ho
9.8966 0.8009 18.0369 Ho
3.7003 -0.8460 4.6274 Ho
7.4913 0.1616 12.8317 Ho
0.7400 -1.6448 2.9630 Ho
1.3559 -1.4691 -0.4461 Tm
3.1442 -1.0058 8.1659 Th
6.8869 -0.0110 16.2655 Th
```

---

Which of them is the least stable? Correct choice: B.

---

A | VASP calculation (PBE) on crystalline HoTm4Th3 at its relaxed geometry.

DOS(E_F) = 1.2650 states/eV per atom
crystal system = monoclinic

Cell and atoms, written as POSCAR:
```
HoTm4Th3
1.0
3.5067 0.0000 -0.5285
-0.0816 6.0284 -0.5416
-0.0303 0.0270 11.6969
Tm Ho Th
4 1 3
Cartesian
3.0363 0.7699 8.2479 Tm
0.3585 5.2855 2.3789 Tm
2.5537 4.5112 5.0462 Tm
0.8411 1.5442 5.5806 Tm
1.7534 0.0000 -0.2643 Ho
-0.0408 3.0142 -0.2708 Th
1.2409 3.7813 8.2334 Th
2.1539 2.2741 2.3934 Th
```

---

B | VASP calculation (PBE) on crystalline HoTm4Th3 at its relaxed geometry.

DOS(E_F) = 1.5310 states/eV per atom
crystal system = orthorhombic

Cell and atoms, written as POSCAR:
```
HoTm4Th3
1.0
-4.3958 3.5883 -2.4704
-3.1110 -5.7367 -2.7969
-6.3124 -1.2019 9.4863
Ho Tm Th
2 8 6
Cartesian
-1.8308 -1.5994 -1.4209 Ho
-7.9699 -1.8538 1.3813 Ho
-3.3405 -4.4664 -2.7888 Tm
-3.2187 1.5902 -1.9403 Tm
-6.2963 2.5123 -0.4207 Tm
-6.4336 -3.5743 -1.2651 Tm
-6.5082 -5.1037 1.9422 Tm
-6.3978 0.9623 2.7842 Tm
-9.5815 -4.1737 3.4656 Tm
-9.4608 1.9098 4.3348 Tm
-4.8016 -1.2511 -3.3536 Th
-7.7909 -0.3301 -1.7694 Th
-4.8707 -0.7878 0.1220 Th
-4.9836 -2.2148 3.3227 Th
-8.0241 -1.3882 4.8609 Th
-10.9499 -0.9316 2.9780 Th
```

---

Which of them is the least stable? Correct choice: B.